The following is a PBE-GGA calculation of a geometry-optimized ErTlSe2 structure, from the Alexandria database.

abc: 8.1419 8.1419 8.1419
angles: 29.55 29.55 29.55
Last column: nearest neighbours and their distance in Å.
Sites, in units of the cell vectors:
Er 0.0000 0.0000 0.0000  6 Se 2.87
Tl 0.5000 0.5000 0.5000  6 Se 3.33
Se 0.2659 0.2659 0.2659  3 Er 2.87
Se 0.7341 0.7341 0.7341  3 Er 2.87

Calculated volume in Å³ per atom: 29.053
Formation energy from raw total energies in eV per atom: -1.380

---

The following is a PBE-GGA calculation of a geometry-optimized Ca4TmPa3N8 structure, from the Alexandria database.

abc: 7.0040 7.0040 7.0040
angles: 60.48 60.48 60.48
Last column: nearest neighbours and their distance in Å.
Sites, in units of the cell vectors:
Ca 0.0000 0.0000 0.0000  6 N 2.56
Ca 0.0000 0.5000 0.5000  6 N 2.60-2.63
Ca 0.5000 0.0000 0.5000  6 N 2.60-2.63
Ca 0.5000 0.5000 0.0000  6 N 2.60-2.63
Tm 0.5000 0.5000 0.5000  6 N 2.43
Pa 0.0000 0.0000 0.5000  6 N 2.35-2.38
Pa 0.0000 0.5000 0.0000  6 N 2.35-2.38
Pa 0.5000 0.0000 0.0000  6 N 2.35-2.38
N 0.2284 0.7430 0.7430  2 Pa 2.35, 1 Tm 2.43, 3 Ca 2.56-2.63
N 0.2389 0.2389 0.2389  3 Pa 2.38, 3 Ca 2.60
N 0.2570 0.2570 0.7716  2 Pa 2.35, 1 Tm 2.43, 3 Ca 2.56-2.63
N 0.2570 0.7716 0.2570  2 Pa 2.35, 1 Tm 2.43, 3 Ca 2.56-2.63
N 0.7430 0.2284 0.7430  2 Pa 2.35, 1 Tm 2.43, 3 Ca 2.56-2.63
N 0.7430 0.7430 0.2284  2 Pa 2.35, 1 Tm 2.43, 3 Ca 2.56-2.63
N 0.7611 0.7611 0.7611  3 Pa 2.38, 3 Ca 2.60
N 0.7716 0.2570 0.2570  2 Pa 2.35, 1 Tm 2.43, 3 Ca 2.56-2.63

Calculated volume in Å³ per atom: 15.350
Formation energy from raw total energies in eV per atom: -1.494